DFT (PBE) results for a relaxed DyPaBi2 crystal.

Cell: 5.447 5.447 5.447 Å, 60.00 60.00 60.00°
Sites, in units of the cell vectors:
Pa  0.000  0.000  0.000
Dy  0.500  0.500  0.500
Bi  0.750  0.750  0.750
Bi  0.250  0.250  0.250

Properties
relative energy among the computed polymorphs: 0.1113 eV/atom
total moment: 1.79 μB/cell
space-group type: Fm-3m, No. 225
energy of formation from the pure elements: -326.8 meV/atom
V: 114.30 Å³ per cell

DFT (PBE) results for a relaxed Tc2PtW crystal.

Cell: 4.831 4.831 2.755 Å, 90.00 90.00 109.57°
Sites, in units of the cell vectors:
Tc  0.500  0.500  0.000
Tc  0.000  0.000  0.000
Pt  0.000  0.500  0.500
W  0.500  0.000  0.500

Properties
relative energy among the computed polymorphs: 0.1422 eV/atom
total moment: 0.00 μB/cell
space-group type: Cmmm, No. 65
energy of formation from the pure elements: -22.6 meV/atom
V: 60.59 Å³ per cell

DFT (PBE) results for a relaxed Ge2TeSe6 crystal.

Cell: 6.579 8.848 8.848 Å, 85.84 82.24 82.24°
Sites, in units of the cell vectors:
Se  0.636  0.284  0.456
Te  0.250  0.125  0.875
Se  0.661  0.979  0.789
Ge  0.319  0.223  0.385
Se  0.364  0.716  0.544
Se  0.403  0.392  0.862
Se  0.839  0.211  0.021
Ge  0.819  0.385  0.223
Se  0.097  0.138  0.608
Se  0.864  0.544  0.716
Se  0.903  0.862  0.392
Se  0.136  0.456  0.284
Se  0.597  0.608  0.138
Te  0.750  0.875  0.125
Se  0.339  0.021  0.211
Se  0.161  0.789  0.979
Ge  0.181  0.615  0.777
Ge  0.681  0.777  0.615

Properties
total moment: 0.00 μB/cell
space-group type: C2/c, No. 15
V: 504.85 Å³ per cell
uncorrected formation energy: -0.088 eV/atom

DFT (PBE) results for a relaxed SmTl2Hg6 crystal.

Cell: 3.387 9.034 9.034 Å, 60.00 90.01 90.01°
Sites, in units of the cell vectors:
Hg  0.500  0.333  0.667
Hg  0.499  0.000  0.667
Hg  0.500  0.667  0.333
Tl  0.000  0.667  0.667
Sm  0.000  0.000  0.000
Tl  0.000  0.333  0.333
Hg  0.499  0.667  0.000
Hg  0.501  0.000  0.333
Hg  0.501  0.333  0.000

Properties
total moment: 0.05 μB/cell
space-group type: P6/mmm, No. 191
energy of formation from the pure elements: -128.7 meV/atom
V: 239.38 Å³ per cell

DFT (PBE) results for a relaxed Sc3AsP2 crystal.

Cell: 5.372 7.580 11.398 Å, 90.00 90.00 90.00°
Sites, in units of the cell vectors:
Sc  0.250  0.131  0.914
As  0.750  0.125  0.919
Sc  0.250  0.119  0.586
Sc  0.750  0.375  0.750
Sc  0.750  0.869  0.086
P  0.250  0.876  0.416
Sc  0.750  0.381  0.086
As  0.750  0.625  0.581
P  0.250  0.375  0.748
Sc  0.250  0.125  0.250
Sc  0.250  0.631  0.586
As  0.250  0.375  0.419
P  0.750  0.625  0.252
P  0.750  0.124  0.584
Sc  0.750  0.881  0.414
P  0.750  0.125  0.248
Sc  0.250  0.625  0.250
Sc  0.750  0.875  0.750
As  0.250  0.875  0.081
Sc  0.250  0.619  0.914
P  0.750  0.624  0.916
P  0.250  0.875  0.752
Sc  0.750  0.369  0.414
P  0.250  0.376  0.084

Properties
total moment: 0.00 μB/cell
space-group type: Pnma, No. 62
energy of formation from the pure elements: -1447.9 meV/atom
V: 464.12 Å³ per cell

DFT (PBE) results for a relaxed MnSb2Au crystal.

Cell: 4.816 4.816 4.816 Å, 60.00 60.00 60.00°
Sites, in units of the cell vectors:
Sb  0.250  0.250  0.250
Mn  0.000  0.000  0.000
Sb  0.750  0.750  0.750
Au  0.500  0.500  0.500

Properties
relative energy among the computed polymorphs: 0.5649 eV/atom
total moment: 0.00 μB/cell
space-group type: Fm-3m, No. 225
V: 78.99 Å³ per cell
uncorrected formation energy: 0.595 eV/atom

DFT (PBE) results for a relaxed Er4TmAl crystal.

Cell: 3.488 3.488 13.853 Å, 90.00 90.00 90.00°
Sites, in units of the cell vectors:
Er  0.000  0.000  0.362
Tm  0.000  0.000  0.000
Er  0.000  0.000  0.638
Al  0.500  0.500  0.500
Er  0.500  0.500  0.178
Er  0.500  0.500  0.822

Properties
relative energy among the computed polymorphs: 0.0000 eV/atom
total moment: 0.00 μB/cell
space-group type: P4/mmm, No. 123
energy of formation from the pure elements: -122.9 meV/atom
V: 168.50 Å³ per cell

DFT (PBE) results for a relaxed Lu2AgOs crystal.

Cell: 4.847 4.847 4.847 Å, 60.00 60.00 60.00°
Sites, in units of the cell vectors:
Ag  0.500  0.500  0.500
Lu  0.250  0.250  0.250
Os  0.000  0.000  0.000
Lu  0.750  0.750  0.750

Properties
relative energy among the computed polymorphs: 0.0446 eV/atom
total moment: 0.00 μB/cell
space-group type: Fm-3m, No. 225
energy of formation from the pure elements: -365.2 meV/atom
V: 80.54 Å³ per cell

- Which value of total moment does entry 3 give?
  0.00 μB/cell

- Which value of V does entry 1 give?
  114.30 Å³ per cell

- Among the records above, which one has the lowest V?
  Tc2PtW